Density functional theory data (PBE) for a relaxed Dy8ErTm3 crystal.

Computed properties:
energy of formation = 0.718 eV/atom
SG = No. 139
calculated total energy = -46.2 eV per cell

Cell and atoms, written as CIF:
```
data_Dy8ErTm3
_chemical_formula_sum 'Dy8 Er1 Tm3'
_cell_length_a 9.317
_cell_length_b 9.317
_cell_length_c 9.317
_cell_angle_alpha 131.78
_cell_angle_beta 131.78
_cell_angle_gamma 70.58
_space_group_name_H-M_alt 'P 1'
_space_group_IT_number 1
_space_group_name_Hall 'P 1'
loop_
_atom_site_label
_atom_site_type_symbol
_atom_site_fract_x
_atom_site_fract_y
_atom_site_fract_z
_atom_site_occupancy
Dy1 Dy 0.125 0.125 0.501 1
Dy2 Dy 0.125 0.625 0.000 1
Dy3 Dy 0.375 0.375 0.501 1
Dy4 Dy 0.375 0.875 0.000 1
Dy5 Dy 0.625 0.125 0.000 1
Dy6 Dy 0.625 0.625 0.499 1
Dy7 Dy 0.875 0.375 0.000 1
Dy8 Dy 0.875 0.875 0.499 1
Er1 Er 0.000 0.000 0.000 1
Tm1 Tm 0.250 0.750 0.500 1
Tm2 Tm 0.500 0.500 0.000 1
Tm3 Tm 0.750 0.250 0.500 1
```